DFT (PBE) results for crystalline SiSbBr at its relaxed geometry.

Properties
The value obtained for the excess energy over the best structure of this formula in the dataset is 1.11 eV/f.u. Its uncorrected formation energy is 0.39 eV per atom. The total DFT energy (no corrections) comes out at -10.1 eV/cell. The theoretical density comes out at 5.4 g/cm³.

Cell: 4.9401 4.9401 3.3140 Å, 90.00 90.00 120.00°
Atoms (fractional coordinates):
Sb (0.6667, 0.3333, 0.4854)
Br (0.0000, 0.0000, 0.9947)
Si (0.3333, 0.6667, 0.5199)

=====

DFT (PBE) results for crystalline LiCe2Sn3Pd4 at its relaxed geometry.

Properties
Its formation energy is -0.678 eV per atom. The total DFT energy (no corrections) comes out at -53.3 eV/cell. The theoretical density comes out at 8.1 g/cm³.

Cell: 4.4739 4.4739 10.9164 Å, 90.00 90.00 90.00°
Atoms (fractional coordinates):
Ce (0.5000, 0.0000, 0.2493)
Sn (0.0000, 0.0000, 0.5000)
Ce (0.0000, 0.5000, 0.7507)
Sn (0.5000, 0.0000, 0.8673)
Sn (0.0000, 0.5000, 0.1327)
Pd (0.0000, 0.0000, 0.0000)
Pd (0.5000, 0.0000, 0.6296)
Pd (0.5000, 0.5000, 0.0000)
Pd (0.0000, 0.5000, 0.3704)
Li (0.5000, 0.5000, 0.5000)

=====

DFT (PBE) results for crystalline BTe2RuI at its relaxed geometry.

Properties
The value obtained for the excess energy over the best structure of this formula in the dataset is 0.02 eV/f.u. Its uncorrected formation energy is 1.29 eV per atom. The total DFT energy (no corrections) comes out at -17.3 eV/cell. The theoretical density comes out at 7.5 g/cm³.

Cell: 4.7794 4.7794 4.7896 Å, 90.00 90.00 90.00°
Atoms (fractional coordinates):
Te (0.5000, 0.0000, 0.0000)
Te (0.0000, 0.5000, 0.0000)
I (0.0000, 0.0000, 0.5000)
Ru (0.5000, 0.5000, 0.5000)
B (0.0000, 0.0000, 0.0000)

=====

DFT (PBE) results for crystalline Fe2CoP at its relaxed geometry.

Properties
Its formation energy is -0.019 eV per atom. The total DFT energy (no corrections) comes out at -29.5 eV/cell. The theoretical density comes out at 7.5 g/cm³.

Cell: 7.5765 7.5765 7.5765 Å, 20.07 20.07 20.07°
Atoms (fractional coordinates):
Fe (0.0003, 0.0003, 0.0003)
Fe (0.7561, 0.7561, 0.7561)
Co (0.2442, 0.2442, 0.2442)
P (0.4994, 0.4994, 0.4994)

=====

Question: Which of these has the lowest theoretical density?
Answer: SiSbBr

=====

Question: Among the records above, which one has the lowest theoretical density?
Answer: SiSbBr